# 1
Compound: Y2TlW
Source: the Alexandria database
Functional: PBE
Structure: relaxed

a = 5.1480 Å, b = 5.1480 Å, c = 5.1480 Å
α = 60.00°, β = 60.00°, γ = 60.00°
With the nearest neighbours (Å) after each atom.
Positions (direct):
Y: 0.2500 0.2500 0.2500  4 W 3.15, 4 Tl 3.15
Y: 0.7500 0.7500 0.7500  4 Tl 3.15, 4 W 3.15
Tl: 0.5000 0.5000 0.5000  8 Y 3.15
W: 0.0000 0.0000 0.0000  8 Y 3.15

As for the volume: 24.1 Å³ per atom. Its total magnetization is 0.00 μB per formula unit. The value obtained for the energy of formation is 0.32 eV/atom. The calculation puts the offset from the most stable computed form at 0.113 eV/atom. The value obtained for the density of states at the Fermi level is 5.18 states/eV per cell.

# 2
Compound: ReAgIr3
Source: the Alexandria database
Functional: PBE
Structure: relaxed

a = 4.6860 Å, b = 4.6860 Å, c = 4.6860 Å
α = 90.00°, β = 90.00°, γ = 90.00°
With the nearest neighbours (Å) after each atom.
Positions (direct):
Re: 0.5000 0.5000 0.5000  12 Ir 3.31
Ir: 0.0000 0.5000 0.0000  2 Ag 2.34
Ir: 0.0000 0.0000 0.5000  2 Ag 2.34
Ir: 0.5000 0.0000 0.0000  2 Ag 2.34
Ag: 0.0000 0.0000 0.0000  6 Ir 2.34

As for the volume: 20.6 Å³ per atom. Its total magnetization is 2.80 μB per formula unit. The value obtained for the energy of formation is 2.90 eV/atom. The calculation puts the offset from the most stable computed form at 1.291 eV/atom. The value obtained for the density of states at the Fermi level is 9.04 states/eV per cell.

# 3
Compound: Tb2IrRh3
Source: the Alexandria database
Functional: PBE
Structure: relaxed

a = 5.3465 Å, b = 5.3465 Å, c = 5.3571 Å
α = 90.02°, β = 119.98°, γ = 119.94°
With the nearest neighbours (Å) after each atom.
Positions (direct):
Tb: 0.7490 0.3744 0.1234  3 Ir 3.13-3.14, 9 Rh 3.13-3.14, 4 Tb 3.27-3.30
Tb: 0.2510 0.6256 0.8766  3 Ir 3.13-3.14, 9 Rh 3.13-3.14, 4 Tb 3.27-3.30
Ir: 0.0000 0.0000 0.0000  6 Rh 2.68
Rh: 0.5000 0.5000 0.5000  4 Rh 2.67-2.68, 2 Ir 2.68
Rh: 0.0000 0.0000 0.5000  4 Rh 2.67-2.68, 2 Ir 2.68
Rh: 0.5000 0.0000 0.5000  4 Rh 2.67, 2 Ir 2.68

As for the volume: 18.1 Å³ per atom. Its total magnetization is 0.00 μB per formula unit. The value obtained for the energy of formation is -0.76 eV/atom. The calculation puts the offset from the most stable computed form at 0.000 eV/atom. The value obtained for the density of states at the Fermi level is 4.28 states/eV per cell.

# 4
Compound: BaCuNi
Source: the Alexandria database
Functional: PBE
Structure: relaxed

a = 4.7721 Å, b = 4.7721 Å, c = 4.7721 Å
α = 60.00°, β = 60.00°, γ = 60.00°
With the nearest neighbours (Å) after each atom.
Positions (direct):
Ba: 0.0000 0.0000 0.0000  4 Ni 2.92
Cu: 0.5000 0.5000 0.5000  4 Ni 2.92
Ni: 0.7500 0.7500 0.7500  4 Ba 2.92, 4 Cu 2.92

As for the volume: 25.6 Å³ per atom. Its total magnetization is 0.01 μB per formula unit. The value obtained for the energy of formation is 0.43 eV/atom. The calculation puts the offset from the most stable computed form at 0.418 eV/atom. The value obtained for the density of states at the Fermi level is 3.87 states/eV per cell.

# 5
Compound: NaYO
Source: the Alexandria database
Functional: PBE
Structure: relaxed

a = 3.7316 Å, b = 3.7316 Å, c = 6.0123 Å
α = 90.00°, β = 90.00°, γ = 120.00°
With the nearest neighbours (Å) after each atom.
Positions (direct):
Na: 0.0000 0.0000 0.3860  1 O 2.57
Y: 0.3333 0.6667 0.8942  3 O 2.21
O: 0.0000 0.0000 0.8127  3 Y 2.21

As for the volume: 24.2 Å³ per atom. Its total magnetization is 0.08 μB per formula unit. The calculation puts the offset from the most stable computed form at 0.008 eV/atom. As for the uncorrected formation energy: -168 kJ/mol of atoms. The value obtained for the density of states at the Fermi level is 1.03 states/eV per cell.

# 6
Compound: Ac3Sc2Tl4Ag2
Source: the Alexandria database
Functional: PBE
Structure: relaxed

a = 5.0837 Å, b = 5.0837 Å, c = 15.0703 Å
α = 90.00°, β = 90.00°, γ = 120.00°
With the nearest neighbours (Å) after each atom.
Positions (direct):
Ac: 0.0000 0.0000 0.7410  6 Tl 3.43-3.48, 3 Ag 3.49
Ac: 0.0000 0.0000 0.0000  6 Ag 3.56, 6 Tl 3.57, 2 Ac 3.90
Ac: 0.0000 0.0000 0.2590  6 Tl 3.43-3.48, 3 Ag 3.49
Sc: 0.6667 0.3333 0.4294  4 Tl 2.91-3.04
Sc: 0.3333 0.6667 0.5706  4 Tl 2.91-3.04
Tl: 0.6667 0.3333 0.1345  3 Ag 2.94
Tl: 0.3333 0.6667 0.8655  3 Ag 2.94
Tl: 0.6667 0.3333 0.6228  4 Sc 2.91-3.04
Tl: 0.3333 0.6667 0.3772  4 Sc 2.91-3.04
Ag: 0.6667 0.3333 0.8662  3 Tl 2.94
Ag: 0.3333 0.6667 0.1338  3 Tl 2.94

As for the volume: 30.7 Å³ per atom. Its total magnetization is 0.00 μB per formula unit. The value obtained for the energy of formation is -0.18 eV/atom. The value obtained for the density of states at the Fermi level is 12.84 states/eV per cell.

# 7
Compound: In2GeBF
Source: the Alexandria database
Functional: PBE
Structure: relaxed

a = 4.9582 Å, b = 3.6319 Å, c = 4.9582 Å
α = 90.00°, β = 90.00°, γ = 90.00°
With the nearest neighbours (Å) after each atom.
Positions (direct):
Ge: 0.5000 0.5000 0.5000  8 In 3.07
F: 0.0000 0.5000 0.0000  2 B 1.82
B: 0.0000 0.0000 0.0000  2 F 1.82
In: 0.0000 0.0000 0.5000  2 B 2.48
In: 0.5000 0.0000 0.0000  2 B 2.48

As for the volume: 17.9 Å³ per atom. Its total magnetization is 0.00 μB per formula unit. As for the uncorrected formation energy: 10 kJ/mol of atoms. The value obtained for the density of states at the Fermi level is 2.44 states/eV per cell.

# 8
Compound: KAl2Ir
Source: the Alexandria database
Functional: PBE
Structure: relaxed

a = 6.1142 Å, b = 6.1142 Å, c = 8.2892 Å
α = 68.36°, β = 68.36°, γ = 90.00°
With the nearest neighbours (Å) after each atom.
Positions (direct):
K: 0.5000 0.5000 0.0000  8 Al 3.85
K: 0.2500 0.7500 0.5000  8 Al 3.85
Ir: 0.0000 0.0000 0.0000  4 Al 2.34
Ir: 0.7500 0.2500 0.5000  4 Al 2.34
Al: 0.8745 0.1250 0.2500  2 Ir 2.34
Al: 0.8755 0.6250 0.2500  2 Ir 2.34
Al: 0.3750 0.1255 0.7500  2 Ir 2.34
Al: 0.8750 0.1245 0.7500  2 Ir 2.34

As for the volume: 33.0 Å³ per atom. Its total magnetization is 0.00 μB per formula unit. The value obtained for the energy of formation is -0.06 eV/atom. The calculation puts the offset from the most stable computed form at 0.143 eV/atom. The value obtained for the density of states at the Fermi level is 0.28 states/eV per cell.

# 9
Compound: MnMoW
Source: the Alexandria database
Functional: PBE
Structure: relaxed

a = 5.0490 Å, b = 5.0499 Å, c = 5.0499 Å
α = 144.24°, β = 144.23°, γ = 51.48°
With the nearest neighbours (Å) after each atom.
Positions (direct):
Mn: 0.0012 0.0012 0.0000  4 W 2.64, 4 Mo 2.66
Mo: 0.3367 0.3361 0.0005  4 Mn 2.66, 5 W 2.70-2.97
W: 0.6622 0.6627 0.9995  4 Mn 2.64, 4 Mo 2.70

As for the volume: 14.6 Å³ per atom. Its total magnetization is 1.10 μB per formula unit. The value obtained for the energy of formation is 0.15 eV/atom. The calculation puts the offset from the most stable computed form at 0.064 eV/atom. The value obtained for the density of states at the Fermi level is 3.46 states/eV per cell.

# 10
Compound: K2TaMo
Source: the Alexandria database
Functional: PBE
Structure: relaxed

a = 6.3759 Å, b = 3.9140 Å, c = 3.9140 Å
α = 90.00°, β = 90.00°, γ = 90.00°
With the nearest neighbours (Å) after each atom.
Positions (direct):
K: 0.0000 0.0000 0.0000  4 K 2.77
K: 0.0000 0.5000 0.5000  4 K 2.77
Mo: 0.5000 0.5000 0.0000  4 Ta 2.77
Ta: 0.5000 0.0000 0.5000  4 Mo 2.77

As for the volume: 24.4 Å³ per atom. Its total magnetization is 0.93 μB per formula unit. The value obtained for the energy of formation is 1.49 eV/atom. The calculation puts the offset from the most stable computed form at 0.711 eV/atom. The value obtained for the density of states at the Fermi level is 4.85 states/eV per cell.

# 11
Compound: Pm12Tl3Ag
Source: the Alexandria database
Functional: PBE
Structure: relaxed

a = 4.9590 Å, b = 4.9590 Å, c = 19.6470 Å
α = 90.00°, β = 90.00°, γ = 90.00°
With the nearest neighbours (Å) after each atom.
Positions (direct):
Pm: 0.5000 0.5000 0.0000  8 Pm 3.44, 4 Ag 3.51
Pm: 0.5000 0.5000 0.2452  8 Pm 3.48-3.53, 4 Tl 3.51
Pm: 0.5000 0.5000 0.5000  4 Tl 3.51, 8 Pm 3.52
Pm: 0.5000 0.5000 0.7548  8 Pm 3.48-3.53, 4 Tl 3.51
Pm: 0.5000 0.0000 0.1210  2 Ag 3.44, 8 Pm 3.44-3.51, 2 Tl 3.51
Pm: 0.5000 0.0000 0.3732  4 Tl 3.50-3.52, 8 Pm 3.51-3.53
Pm: 0.5000 0.0000 0.6268  4 Tl 3.50-3.52, 8 Pm 3.51-3.53
Pm: 0.5000 0.0000 0.8790  2 Ag 3.44, 8 Pm 3.44-3.51, 2 Tl 3.51
Pm: 0.0000 0.5000 0.1210  8 Pm 3.44-3.51, 2 Ag 3.44, 2 Tl 3.51
Pm: 0.0000 0.5000 0.3732  4 Tl 3.50-3.52, 8 Pm 3.51-3.53
Pm: 0.0000 0.5000 0.6268  4 Tl 3.50-3.52, 8 Pm 3.51-3.53
Pm: 0.0000 0.5000 0.8790  2 Ag 3.44, 8 Pm 3.44-3.51, 2 Tl 3.51
Tl: 0.0000 0.0000 0.2476  12 Pm 3.50-3.51
Tl: 0.0000 0.0000 0.5000  12 Pm 3.51-3.52
Tl: 0.0000 0.0000 0.7524  12 Pm 3.50-3.51
Ag: 0.0000 0.0000 0.0000  12 Pm 3.44-3.51

As for the volume: 30.2 Å³ per atom. Its total magnetization is 0.00 μB per formula unit. The value obtained for the energy of formation is -0.15 eV/atom. The value obtained for the density of states at the Fermi level is 23.02 states/eV per cell.

# 12
Compound: NbTlGaAu2
Source: the Alexandria database
Functional: PBE
Structure: relaxed

a = 5.1519 Å, b = 5.5936 Å, c = 5.1519 Å
α = 90.00°, β = 90.00°, γ = 90.00°
With the nearest neighbours (Å) after each atom.
Positions (direct):
Tl: 0.0000 0.5000 0.0000  2 Nb 2.80
Au: 0.0000 0.0000 0.5000  2 Nb 2.58
Au: 0.5000 0.0000 0.0000  2 Nb 2.58
Nb: 0.0000 0.0000 0.0000  4 Au 2.58, 2 Tl 2.80
Ga: 0.5000 0.5000 0.5000  4 Tl 3.64, 8 Au 3.80

As for the volume: 29.7 Å³ per atom. Its total magnetization is 0.00 μB per formula unit. The value obtained for the energy of formation is 0.78 eV/atom. The calculation puts the offset from the most stable computed form at 0.000 eV/atom. The value obtained for the density of states at the Fermi level is 4.45 states/eV per cell.

Question: Number 1 is which compound?
Answer: Y2TlW

Repeat the ninth record exactly.
Compound: MnMoW
Source: the Alexandria database
Functional: PBE
Structure: relaxed

a = 5.0490 Å, b = 5.0499 Å, c = 5.0499 Å
α = 144.24°, β = 144.23°, γ = 51.48°
With the nearest neighbours (Å) after each atom.
Positions (direct):
Mn: 0.0012 0.0012 0.0000  4 W 2.64, 4 Mo 2.66
Mo: 0.3367 0.3361 0.0005  4 Mn 2.66, 5 W 2.70-2.97
W: 0.6622 0.6627 0.9995  4 Mn 2.64, 4 Mo 2.70

As for the volume: 14.6 Å³ per atom. Its total magnetization is 1.10 μB per formula unit. The value obtained for the energy of formation is 0.15 eV/atom. The calculation puts the offset from the most stable computed form at 0.064 eV/atom. The value obtained for the density of states at the Fermi level is 3.46 states/eV per cell.